The following is a DFT calculation (PBE) of a relaxed structure of PmOs2O7F2.

Cell: 3.922 3.922 9.904 Å, 101.43 101.42 90.00°
Fractional positions:
Pm  0.000  0.000  0.000
Os  0.390  0.390  0.780
Os  0.610  0.610  0.220
O  0.411  0.911  0.823
O  0.699  0.699  0.398
O  0.089  0.589  0.177
O  0.589  0.089  0.177
O  0.301  0.301  0.602
O  0.911  0.412  0.823
O  0.500  0.500  0.000
F  0.250  0.750  0.500
F  0.750  0.250  0.500

Output
SG = No. 139
Energy relative to the elements, uncorrected = -1192 meV per atom
Density = 7.670 Mg/m³

=====

The following is a DFT calculation (PBE) of a relaxed structure of ScCo.

Cell: 5.129 5.129 5.062 Å, 90.00 90.00 90.00°
Fractional positions:
Sc  0.207  0.793  0.000
Sc  0.707  0.707  0.500
Sc  0.293  0.293  0.500
Sc  0.793  0.207  0.000
Co  0.317  0.317  0.000
Co  0.817  0.183  0.500
Co  0.183  0.817  0.500
Co  0.683  0.683  0.000

Output
E_form = 17 kJ/mol of formula units
SG = No. 136
Density = 5.182 Mg/m³

=====

The following is a DFT calculation (PBE) of a relaxed structure of Sr2NpAgTe4.

Cell: 4.599 7.962 7.916 Å, 110.32 90.00 90.00°
Site moments in Bohr magnetons follow the coordinates.
Fractional positions:
Sr  0.500  0.000  0.500  0.00
Sr  0.000  0.500  0.500  0.00
Np  0.500  0.500  0.000  4.02
Ag  0.000  0.000  0.000  -0.01
Te  0.500  0.240  0.223  -0.03
Te  0.500  0.760  0.777  -0.03
Te  0.000  0.261  0.766  -0.05
Te  0.000  0.739  0.234  -0.05

Output
SG = No. 10
Energy relative to the elements, uncorrected = -993 meV per atom
Density = 6.295 Mg/m³

=====

The following is a DFT calculation (PBE) of a relaxed structure of CrTeOs2.

Cell: 2.843 2.843 9.253 Å, 90.00 90.00 116.93°
Site moments in Bohr magnetons follow the coordinates.
Fractional positions:
Cr  0.500  0.500  0.750  1.35
Os  0.000  0.000  0.962  -0.22
Os  0.000  0.000  0.538  -0.22
Te  0.500  0.500  0.250  0.00

Output
SG = No. 65
Energy relative to the elements, uncorrected = 890 meV per atom
Density = 13.947 Mg/m³

=====

The following is a DFT calculation (PBE) of a relaxed structure of AcEuSn2.

Cell: 4.177 4.177 7.353 Å, 90.00 90.00 90.00°
Site moments in Bohr magnetons follow the coordinates.
Fractional positions:
Eu  0.500  0.500  0.500  6.86
Ac  0.500  0.500  0.000  0.03
Sn  0.000  0.000  0.727  0.01
Sn  0.000  0.000  0.273  0.01

Output
E_form = -237 kJ/mol of formula units
SG = No. 123
Density = 7.980 Mg/m³

=====

The following is a DFT calculation (PBE) of a relaxed structure of Pr3Mn5Se12.

Cell: 13.820 13.820 13.820 Å, 109.47 109.47 109.47°
Site moments in Bohr magnetons follow the coordinates.
Fractional positions:
Pr  0.750  0.375  0.125  0.07
Pr  0.875  0.750  0.125  0.07
Pr  0.375  0.750  0.625  0.07
Pr  0.250  0.125  0.375  0.07
Pr  0.875  0.125  0.250  0.07
Pr  0.375  0.625  0.250  0.07
Pr  0.625  0.375  0.750  0.07
Pr  0.125  0.875  0.750  0.07
Pr  0.750  0.875  0.625  0.07
Pr  0.625  0.250  0.375  0.07
Pr  0.125  0.250  0.875  0.07
Pr  0.250  0.625  0.875  0.07
Mn  0.125  0.375  0.250  3.78
Mn  0.000  0.500  0.000  3.60
Mn  0.000  0.000  0.000  3.60
Mn  0.375  0.250  0.125  3.78
Mn  0.500  0.000  0.500  3.60
Mn  0.500  0.500  0.000  3.60
Mn  0.125  0.750  0.375  3.78
Mn  0.750  0.125  0.875  3.78
Mn  0.750  0.625  0.375  3.78
Mn  0.375  0.125  0.750  3.78
Mn  0.625  0.875  0.250  3.78
Mn  0.500  0.500  0.500  3.60
Mn  0.500  0.000  0.000  3.60
Mn  0.000  0.000  0.500  3.60
Mn  0.250  0.375  0.625  3.78
Mn  0.250  0.875  0.125  3.78
Mn  0.000  0.500  0.500  3.60
Mn  0.875  0.250  0.625  3.78
Mn  0.625  0.750  0.875  3.78
Mn  0.875  0.625  0.750  3.78
Se  0.704  0.119  0.028  -0.04
Se  0.325  0.528  0.409  -0.04
Se  0.972  0.381  0.296  -0.04
Se  0.528  0.204  0.119  -0.04
Se  0.585  0.704  0.675  -0.04
Se  0.972  0.591  0.175  -0.04
Se  0.325  0.796  0.415  -0.04
Se  0.091  0.915  0.119  -0.04
Se  0.591  0.972  0.675  -0.04
Se  0.704  0.585  0.175  -0.04
Se  0.796  0.472  0.381  -0.04
Se  0.825  0.909  0.028  -0.04
Se  0.119  0.704  0.528  -0.04
Se  0.381  0.409  0.085  -0.04
Se  0.085  0.909  0.381  -0.04
Se  0.415  0.119  0.591  -0.04
Se  0.085  0.175  0.204  -0.04
Se  0.472  0.675  0.091  -0.04
Se  0.825  0.915  0.296  -0.04
Se  0.119  0.415  0.091  -0.04
Se  0.381  0.972  0.796  -0.04
Se  0.591  0.619  0.415  -0.04
Se  0.909  0.825  0.528  -0.04
Se  0.796  0.325  0.915  -0.04
Se  0.409  0.381  0.585  -0.04
Se  0.091  0.175  0.472  -0.04
Se  0.204  0.675  0.085  -0.04
Se  0.175  0.085  0.704  -0.04
Se  0.619  0.028  0.204  -0.04
Se  0.881  0.585  0.909  -0.04
Se  0.528  0.325  0.909  -0.04
Se  0.585  0.881  0.409  -0.04
Se  0.915  0.825  0.796  -0.04
Se  0.915  0.091  0.619  -0.04
Se  0.881  0.296  0.472  -0.04
Se  0.175  0.091  0.972  -0.04
Se  0.619  0.591  0.915  -0.04
Se  0.409  0.028  0.325  -0.04
Se  0.296  0.415  0.825  -0.04
Se  0.204  0.528  0.619  -0.04
Se  0.909  0.085  0.881  -0.04
Se  0.675  0.204  0.585  -0.04
Se  0.472  0.796  0.881  -0.04
Se  0.028  0.409  0.825  -0.04
Se  0.415  0.296  0.325  -0.04
Se  0.028  0.619  0.704  -0.04
Se  0.675  0.472  0.591  -0.04
Se  0.296  0.881  0.972  -0.04

Output
SG = No. 230
Energy relative to the elements, uncorrected = -929 meV per atom
Density = 5.377 Mg/m³

=====

The following is a DFT calculation (PBE) of a relaxed structure of LiP2Cl.

Cell: 6.999 6.999 6.999 Å, 153.03 128.30 59.27°
Fractional positions:
Cl  0.653  0.653  0.000
Li  0.778  0.278  0.500
P  0.977  0.977  0.000
P  0.091  0.591  0.500

Output
SG = No. 44
Energy relative to the elements, uncorrected = -478 meV per atom
Density = 1.429 Mg/m³
Energy above the lowest structure with this stoichiometry = 0.2460 eV per atom

=====

The following is a DFT calculation (PBE) of a relaxed structure of Sm2Pu3Si4.

Cell: 7.333 7.727 7.757 Å, 90.00 90.00 106.92°
Site moments in Bohr magnetons follow the coordinates.
Fractional positions:
Sm  0.572  0.189  0.322  0.17
Sm  0.928  0.811  0.822  0.17
Sm  0.428  0.811  0.678  0.17
Sm  0.072  0.189  0.178  0.17
Pu  0.000  0.500  0.500  5.44
Pu  0.500  0.500  0.000  5.44
Pu  0.747  0.254  0.811  5.27
Pu  0.753  0.746  0.311  5.27
Pu  0.253  0.746  0.189  5.27
Pu  0.247  0.254  0.689  5.27
Si  0.870  0.070  0.528  -0.05
Si  0.630  0.930  0.028  -0.05
Si  0.130  0.930  0.472  -0.05
Si  0.370  0.070  0.972  -0.05
Si  0.883  0.487  0.113  -0.06
Si  0.617  0.513  0.613  -0.06
Si  0.117  0.513  0.887  -0.06
Si  0.383  0.487  0.387  -0.06

Output
SG = No. 14
Energy relative to the elements, uncorrected = -525 meV per atom
Density = 9.044 Mg/m³